Record 1
# Mg2V3GaS8

An optimized crystal structure of Mg2V3GaS8 (PBE, Alexandria via LeMat-Bulk).

```
14
Lattice="-5.103 4.882 2.001 -4.374 3.180 -4.962 -7.152 -1.612 -0.354" Properties=species:S:1:pos:R:3 pbc="T T T"
Mg -2.088 0.810 -0.416
Mg -14.540 5.640 -2.899
V -6.127 1.635 0.823
V -4.738 4.031 -1.481
V -5.763 0.784 -2.658
Ga -8.314 3.225 -1.658
S -4.345 1.685 -0.866
S -10.314 3.324 -0.192
S -9.982 2.549 -3.366
S -9.048 5.509 -2.293
S -6.646 3.901 0.051
S -7.580 0.941 -1.023
S -12.283 4.764 -2.449
S -6.314 3.125 -3.123
```

Output
The space group is No. 166. The uncorrected formation energy is -13.062 eV/f.u.


Record 2
# Dy5HgAu4

An optimized crystal structure of Dy5HgAu4 (PBE, Alexandria via LeMat-Bulk).

```
10
Lattice="3.613 0.000 0.000 0.000 3.613 0.000 0.000 0.000 18.216" Properties=species:S:1:pos:R:3 pbc="T T T"
Dy 1.806 1.806 1.932
Dy 1.806 1.806 5.501
Dy 1.806 1.806 9.108
Dy 1.806 1.806 12.715
Dy 1.806 1.806 16.284
Hg 0.000 0.000 0.000
Au 0.000 0.000 3.686
Au 0.000 0.000 7.310
Au 0.000 0.000 10.906
Au 0.000 0.000 14.530
```

Output
The space group is No. 123. For the formation energy, the calculation gives -75.9 kJ per mole of atoms.


Record 3
# NaMg3Ru

An optimized crystal structure of NaMg3Ru (PBE, Alexandria via LeMat-Bulk).

```
5
Lattice="-0.227 -4.372 2.099 4.445 0.654 1.842 -1.942 2.008 3.972" Properties=species:S:1:pos:R:3 pbc="T T T"
Ru 1.138 -0.855 3.957
Mg 2.222 0.327 0.921
Mg -0.971 1.004 1.986
Mg -0.113 -2.186 1.050
Na 0.000 0.000 0.000
```

Output
The space group is No. 221. For the formation energy, the calculation gives 124.2 kJ per mole of atoms.


Record 4
# Na2PmHgF8

An optimized crystal structure of Na2PmHgF8 (PBE, Alexandria via LeMat-Bulk).

```
12
Lattice="3.939 -0.116 -0.001 -0.099 5.558 -0.119 0.004 -0.152 7.946" Properties=species:S:1:pos:R:3 pbc="T T T"
Na 1.916 2.578 5.907
Na 1.929 2.712 1.920
Pm 0.002 -0.076 3.973
Hg 0.000 0.000 0.000
F 0.015 4.055 2.050
F 2.141 4.164 -0.012
F 3.780 1.031 1.840
F 3.830 1.235 5.776
F 1.703 1.126 7.839
F 0.064 4.259 5.987
F 1.889 4.119 4.070
F 1.956 1.171 3.757
```

Output
The space group is No. 2. The uncorrected formation energy is -31.988 eV/f.u.


Record 5
# Ca2TmSi3Au12

An optimized crystal structure of Ca2TmSi3Au12 (PBE, Alexandria via LeMat-Bulk).

```
18
Lattice="7.792 -0.643 -0.456 3.289 7.093 -0.456 3.289 1.915 6.845" Properties=species:S:1:pos:R:3 pbc="T T T"
Ca 8.552 4.978 3.531
Ca 5.819 3.387 2.403
Tm 0.000 0.000 0.000
Si 3.896 -0.321 -0.228
Si 1.645 3.547 -0.228
Si 1.645 0.957 3.423
Au 6.152 3.581 5.537
Au 10.663 6.207 1.909
Au 8.617 7.369 5.227
Au 8.612 2.184 1.549
Au 10.663 3.853 5.227
Au 6.152 6.410 1.549
Au 8.219 4.784 0.396
Au 3.708 2.158 4.024
Au 5.754 0.996 0.706
Au 5.759 6.181 4.384
Au 3.708 4.512 0.706
Au 8.219 1.956 4.384
```

Output
The space group is No. 166. The uncorrected formation energy is -3.511 eV/f.u.


Record 6
# NbAgIN2

An optimized crystal structure of NbAgIN2 (PBE, Alexandria via LeMat-Bulk).

```
5
Lattice="-1.868 -3.113 -1.947 1.979 -2.694 2.408 -4.038 0.204 3.547" Properties=species:S:1:pos:R:3 pbc="T T T"
I -2.019 0.102 1.774
Nb -1.963 -2.802 2.004
Ag 0.000 0.000 0.000
N 0.990 -1.347 1.204
N -0.934 -1.557 -0.974
```

Output
The space group is No. 123. The uncorrected formation energy is 11.003 eV/f.u.


Repeat the fifth record exactly.
# Ca2TmSi3Au12

An optimized crystal structure of Ca2TmSi3Au12 (PBE, Alexandria via LeMat-Bulk).

```
18
Lattice="7.792 -0.643 -0.456 3.289 7.093 -0.456 3.289 1.915 6.845" Properties=species:S:1:pos:R:3 pbc="T T T"
Ca 8.552 4.978 3.531
Ca 5.819 3.387 2.403
Tm 0.000 0.000 0.000
Si 3.896 -0.321 -0.228
Si 1.645 3.547 -0.228
Si 1.645 0.957 3.423
Au 6.152 3.581 5.537
Au 10.663 6.207 1.909
Au 8.617 7.369 5.227
Au 8.612 2.184 1.549
Au 10.663 3.853 5.227
Au 6.152 6.410 1.549
Au 8.219 4.784 0.396
Au 3.708 2.158 4.024
Au 5.754 0.996 0.706
Au 5.759 6.181 4.384
Au 3.708 4.512 0.706
Au 8.219 1.956 4.384
```

Output
The space group is No. 166. The uncorrected formation energy is -3.511 eV/f.u.